No. 1
Material: Pm2Mg2Si
Method: DFT, PBE
State: optimized geometry

ΔE_f (raw)	0.003	eV/atom
symmetry	I4/mmm (139)
total moment	0.00	μB/f.u.
total DFT energy (no corrections)	-18.1	eV for the cell shown

a b c (Å): 9.518 9.518 9.518
angles (deg): 156.39 156.39 33.64
Positions (direct):
Pm  0.083  0.083  0.000
Pm  0.917  0.917  0.000
Mg  0.250  0.750  0.500
Mg  0.750  0.250  0.500
Si  0.500  0.500  0.000

=====

No. 2
Material: PmMg4Si2
Method: DFT, PBE
State: optimized geometry

ΔE_f (raw)	-0.300	eV/atom
symmetry	Cmmm (65)
total moment	0.00	μB/f.u.
total DFT energy (no corrections)	-24.1	eV for the cell shown

a b c (Å): 8.427 8.427 4.268
angles (deg): 90.00 90.00 150.58
Positions (direct):
Pm  0.000  0.000  0.000
Mg  0.175  0.825  0.500
Mg  0.323  0.677  0.000
Mg  0.677  0.323  0.000
Mg  0.825  0.175  0.500
Si  0.428  0.572  0.500
Si  0.572  0.428  0.500

=====

No. 3
Material: PmMgSi2
Method: DFT, PBE
State: optimized geometry

ΔE to the lowest computed polymorph	0.2066	eV per atom
ΔE_f (raw)	-0.247	eV/atom
symmetry	R-3m (166)
total moment	0.00	μB/f.u.
total DFT energy (no corrections)	-18.2	eV for the cell shown

a b c (Å): 5.596 5.596 5.596
angles (deg): 46.66 46.66 46.66
Positions (direct):
Pm  0.000  0.000  0.000
Mg  0.500  0.500  0.500
Si  0.216  0.216  0.216
Si  0.784  0.784  0.784

=====

No. 4
Material: Pm4MgSi3
Method: DFT, PBE
State: optimized geometry

ΔE_f (raw)	-0.545	eV/atom
symmetry	Pmm2 (25)
total moment	0.10	μB/f.u.
total DFT energy (no corrections)	-41.2	eV for the cell shown

a b c (Å): 4.035 4.435 11.318
angles (deg): 90.00 90.00 90.00
Positions (direct):
Pm  0.000  0.000  0.000
Pm  0.000  0.500  0.481
Pm  0.500  0.000  0.695
Pm  0.500  0.500  0.213
Mg  0.000  0.500  0.787
Si  0.000  0.000  0.276
Si  0.500  0.000  0.415
Si  0.500  0.500  0.942

=====

No. 5
Material: PmMgSi2
Method: DFT, PBE
State: optimized geometry

ΔE to the lowest computed polymorph	0.2170	eV per atom
ΔE_f (raw)	-0.236	eV/atom
symmetry	P4/mmm (123)
total moment	0.00	μB/f.u.
total DFT energy (no corrections)	-18.1	eV for the cell shown

a b c (Å): 3.560 3.560 6.417
angles (deg): 90.00 90.00 90.00
Positions (direct):
Pm  0.000  0.000  0.000
Mg  0.000  0.000  0.500
Si  0.500  0.500  0.305
Si  0.500  0.500  0.695

=====

No. 6
Material: Pm4Mg5Si6
Method: DFT, PBE
State: optimized geometry

ΔE_f (raw)	-0.488	eV/atom
symmetry	Cmc2_1 (36)
total moment	0.00	μB/f.u.
total DFT energy (no corrections)	-133.7	eV for the cell shown

a b c (Å): 10.090 10.090 15.714
angles (deg): 90.00 90.00 154.75
Positions (direct):
Pm  0.013  0.987  0.500
Pm  0.034  0.966  0.762
Pm  0.163  0.837  0.301
Pm  0.174  0.826  0.941
Pm  0.826  0.174  0.441
Pm  0.837  0.163  0.801
Pm  0.966  0.034  0.262
Pm  0.987  0.013  0.000
Mg  0.156  0.844  0.621
Mg  0.304  0.696  0.617
Mg  0.339  0.661  0.267
Mg  0.349  0.651  0.976
Mg  0.443  0.557  0.669
Mg  0.557  0.443  0.169
Mg  0.651  0.349  0.476
Mg  0.661  0.339  0.767
Mg  0.696  0.304  0.117
Mg  0.844  0.156  0.121
Si  0.113  0.887  0.117
Si  0.227  0.773  0.475
Si  0.234  0.766  0.765
Si  0.427  0.573  0.125
Si  0.435  0.565  0.399
Si  0.448  0.552  0.851
Si  0.552  0.448  0.351
Si  0.565  0.435  0.899
Si  0.573  0.427  0.625
Si  0.766  0.234  0.265
Si  0.773  0.227  0.975
Si  0.887  0.113  0.617

=====

No. 7
Material: SrPmMgSi
Method: DFT, PBE
State: optimized geometry

ΔE_f (raw)	-0.153	eV/atom
symmetry	F-43m (216)
total moment	0.00	μB/f.u.
total DFT energy (no corrections)	-14.1	eV for the cell shown

a b c (Å): 5.355 5.355 5.355
angles (deg): 60.00 60.00 60.00
Positions (direct):
Sr  0.000  0.000  0.000
Pm  0.500  0.500  0.500
Mg  0.750  0.750  0.750
Si  0.250  0.250  0.250

=====

No. 8
Material: PmTmMgSi
Method: DFT, PBE
State: optimized geometry

ΔE_f (raw)	-0.268	eV/atom
symmetry	F-43m (216)
total moment	0.00	μB/f.u.
total DFT energy (no corrections)	-17.3	eV for the cell shown

a b c (Å): 5.116 5.116 5.116
angles (deg): 60.00 60.00 60.00
Positions (direct):
Pm  0.000  0.000  0.000
Tm  0.500  0.500  0.500
Mg  0.750  0.750  0.750
Si  0.250  0.250  0.250

=====

No. 9
Material: Pm2MgZn4Si3
Method: DFT, PBE
State: optimized geometry

ΔE_f (raw)	-0.375	eV/atom
symmetry	P-4m2 (115)
total moment	0.00	μB/f.u.
total DFT energy (no corrections)	-36.2	eV for the cell shown

a b c (Å): 4.157 4.157 10.808
angles (deg): 90.00 90.00 90.00
Positions (direct):
Pm  0.000  0.500  0.241
Pm  0.500  0.000  0.759
Mg  0.000  0.000  0.500
Zn  0.000  0.000  0.000
Zn  0.000  0.500  0.643
Zn  0.500  0.000  0.357
Zn  0.500  0.500  0.000
Si  0.000  0.500  0.865
Si  0.500  0.000  0.135
Si  0.500  0.500  0.500

=====

No. 10
Material: Pm3SmMg3
Method: DFT, PBE
State: optimized geometry

energy of formation from the pure elements	0.08	eV per atom
symmetry	C2/m (12)
total moment	0.86	μB/f.u.
total DFT energy (no corrections)	-46.3	eV for the cell shown

a b c (Å): 6.518 6.518 10.845
angles (deg): 90.99 90.99 111.43
Positions (direct):
Pm  0.175  0.825  0.000
Pm  0.227  0.773  0.500
Pm  0.463  0.463  0.166
Pm  0.537  0.537  0.834
Pm  0.773  0.227  0.500
Pm  0.825  0.175  0.000
Sm  0.288  0.288  0.510
Sm  0.712  0.712  0.490
Mg  0.000  0.000  0.258
Mg  0.000  0.000  0.742
Mg  0.017  0.500  0.750
Mg  0.500  0.017  0.750
Mg  0.500  0.983  0.250
Mg  0.983  0.500  0.250

=====

No. 11
Material: PmSm7Mg4
Method: DFT, PBE
State: optimized geometry

energy of formation from the pure elements	0.14	eV per atom
symmetry	C2/m (12)
total moment	0.18	μB/f.u.
total DFT energy (no corrections)	-42.5	eV for the cell shown

a b c (Å): 8.201 8.201 9.810
angles (deg): 119.21 119.21 41.65
Positions (direct):
Pm  0.000  0.000  0.000
Sm  0.081  0.081  0.426
Sm  0.199  0.199  0.877
Sm  0.253  0.253  0.290
Sm  0.500  0.500  0.000
Sm  0.747  0.747  0.710
Sm  0.801  0.801  0.123
Sm  0.919  0.919  0.574
Mg  0.325  0.325  0.655
Mg  0.460  0.460  0.305
Mg  0.540  0.540  0.695
Mg  0.675  0.675  0.345

=====

No. 12
Material: Pm6Sm2Mg
Method: DFT, PBE
State: optimized geometry

ΔE to the lowest computed polymorph	0.0000	eV per atom
energy of formation from the pure elements	0.02	eV per atom
symmetry	P-62m (189)
total moment	0.00	μB/f.u.
total DFT energy (no corrections)	-39.4	eV for the cell shown

a b c (Å): 9.809 9.809 3.609
angles (deg): 90.00 90.00 120.00
Positions (direct):
Pm  0.000  0.295  0.000
Pm  0.000  0.635  0.500
Pm  0.295  0.000  0.000
Pm  0.365  0.365  0.500
Pm  0.635  0.000  0.500
Pm  0.705  0.705  0.000
Sm  0.333  0.667  0.000
Sm  0.667  0.333  0.000
Mg  0.000  0.000  0.500

=====

Q: total moment of number 7 (SrPmMgSi)?
A: 0.00 μB/f.u.

=====

Q: Number 10 is which compound?
A: Pm3SmMg3

=====

Q: Among the records above, which one has the highest total DFT energy (no corrections)?
A: SrPmMgSi